A geometry-optimized Ag3Bi5Pb12 structure, computed with GGA-PBE.

The structure in POSCAR format:
```
Ag3Bi5Pb12
1.0
15.575 0.000 0.000
-5.192 14.685 0.000
-5.192 -7.342 12.717
Ag Bi Pb
12 20 48
direct
0.750 0.375 0.125
0.875 0.750 0.125
0.375 0.750 0.625
0.250 0.125 0.375
0.875 0.125 0.250
0.375 0.625 0.250
0.625 0.375 0.750
0.125 0.875 0.750
0.750 0.875 0.625
0.625 0.250 0.375
0.125 0.250 0.875
0.250 0.625 0.875
0.125 0.375 0.250
0.000 0.500 0.000
0.000 0.000 0.000
0.375 0.250 0.125
0.500 0.000 0.500
0.500 0.500 0.000
0.125 0.750 0.375
0.750 0.125 0.875
0.750 0.625 0.375
0.375 0.125 0.750
0.625 0.875 0.250
0.500 0.500 0.500
0.500 0.000 0.000
0.000 0.000 0.500
0.250 0.375 0.625
0.250 0.875 0.125
0.000 0.500 0.500
0.875 0.250 0.625
0.625 0.750 0.875
0.875 0.625 0.750
0.743 0.130 0.072
0.330 0.572 0.442
0.928 0.370 0.257
0.572 0.243 0.130
0.613 0.743 0.670
0.928 0.558 0.170
0.330 0.757 0.387
0.058 0.887 0.130
0.558 0.928 0.670
0.743 0.613 0.170
0.757 0.428 0.370
0.830 0.942 0.072
0.130 0.743 0.572
0.370 0.442 0.113
0.113 0.942 0.370
0.387 0.130 0.558
0.113 0.170 0.243
0.428 0.670 0.058
0.830 0.887 0.257
0.130 0.387 0.058
0.370 0.928 0.757
0.558 0.630 0.387
0.942 0.830 0.572
0.757 0.330 0.887
0.442 0.370 0.613
0.058 0.170 0.428
0.243 0.670 0.113
0.170 0.113 0.743
0.630 0.072 0.243
0.870 0.613 0.942
0.572 0.330 0.942
0.613 0.870 0.442
0.887 0.830 0.757
0.887 0.058 0.630
0.870 0.257 0.428
0.170 0.058 0.928
0.630 0.558 0.887
0.442 0.072 0.330
0.257 0.387 0.830
0.243 0.572 0.630
0.942 0.113 0.870
0.670 0.243 0.613
0.428 0.757 0.870
0.072 0.442 0.830
0.387 0.257 0.330
0.072 0.630 0.743
0.670 0.428 0.558
0.257 0.870 0.928
```

Calculated values
Space group: Ia-3d (230)

A geometry-optimized Ta6Ti2Nb structure, computed with GGA-PBE.

The structure in POSCAR format:
```
Ta6Ti2Nb
1.0
-4.714 0.469 2.156
-4.929 -2.286 -3.947
0.934 -4.222 2.975
Ta Ti Nb
6 2 1
direct
0.743 0.003 0.501
0.257 0.997 0.499
0.244 0.514 0.637
0.392 0.221 0.061
0.608 0.779 0.939
0.756 0.486 0.363
0.823 0.362 0.829
0.177 0.638 0.171
0.000 0.000 0.000
```

Calculated values
Space group: P-1 (2)

A geometry-optimized TlPIr2 structure, computed with GGA-PBE.

The structure in POSCAR format:
```
TlPIr2
1.0
-2.371 0.268 4.056
-3.149 -3.445 -0.599
4.666 -0.370 -0.485
Ir P Tl
2 1 1
direct
0.000 0.000 0.000
0.500 0.500 0.000
0.250 0.750 0.500
0.750 0.250 0.500
```

Calculated values
Energy above the most stable polymorph in this dataset in kJ/mol of formula units: 208
Space group: I4/mmm (139)

A geometry-optimized Lu2NpCd structure, computed with GGA-PBE.

The structure in POSCAR format:
```
Lu2NpCd
1.0
3.331 0.000 0.000
0.000 3.331 0.000
0.000 0.000 9.254
Np Lu Cd
1 2 1
direct
0.500 0.500 0.000
0.000 0.000 0.739
0.000 0.000 0.261
0.500 0.500 0.500
```

Calculated values
Space group: P4/mmm (123)

Number 1: mass density 8.80 Mg/m³, ΔH_f (0 K) 382 kJ/mol of formula units. Number 2: mass density 12.81 Mg/m³, ΔH_f (0 K) 187 kJ/mol of formula units. Number 3: mass density 15.75 Mg/m³, ΔH_f (0 K) 229 kJ/mol of formula units. Number 4: mass density 11.31 Mg/m³, ΔH_f (0 K) 45 kJ/mol of formula units.